# 1
Entry from Alexandria: a geometry-optimized K3OsF6 structure (GGA-PBE).

```
20
Lattice="-2.0756 6.3382 -0.4851 -7.0322 -2.1507 1.9885 1.5142 1.0615 7.3900" Properties=species:S:1:pos:R:3 pbc="T T T"
F -5.3702 3.2104 1.9846
F -2.7847 4.9711 3.7851
F -4.1085 4.7098 6.0352
F -4.9867 0.8206 5.0668
F 0.6350 1.1776 6.8863
F -7.4513 1.6975 2.1889
F -1.5281 4.6767 6.0200
F -3.6629 1.0819 2.8168
F -5.7273 -0.4607 2.9526
F -6.7588 2.9363 4.3447
F -1.9444 1.1866 6.9741
F -0.5558 1.4607 4.6140
K -6.3615 1.6307 7.0576
K -2.9127 2.6049 4.9647
K -2.0618 6.1517 1.6420
K -5.5136 5.1865 3.7342
K -5.7272 5.4282 7.8718
K -2.6961 2.3542 0.8278
Os -2.7877 6.2254 5.4587
Os -5.6469 1.5917 3.2383
```

## Properties
ΔE_f (raw): -1979 kJ/mol of formula units
Symmetry: Cmc2_1, No. 36

***

# 2
Entry from Alexandria: a geometry-optimized KOs2F2 structure (GGA-PBE).

```
10
Lattice="-5.9439 0.4531 6.0507 -2.6043 -7.8408 -1.9712 1.7534 -1.0349 1.7999" Properties=species:S:1:pos:R:3 pbc="T T T"
Os -1.6061 -3.1655 -0.2554
Os -6.9421 -4.2222 4.3350
Os -4.7982 -6.9418 0.6828
Os -3.7500 -0.4459 3.3967
K -4.2741 -3.6939 2.0398
K 0.0000 0.0000 0.0000
F -4.1252 -2.0453 4.8941
F -2.6696 -6.3773 0.9853
F -1.2185 -2.4683 1.8193
F -5.5763 -5.9543 4.0601
```

## Properties
ΔE to the lowest computed polymorph: 0.0 meV per atom
ΔE_f (raw): -29 kJ/mol of formula units
Symmetry: P4/mbm, No. 127